K3FeRh3O8: optimized geometry, GGA+U.

Cell: 6.2737 6.2737 18.1206 Å, 90.00 90.00 120.00°
Space group R-3m (No. 166, hexagonal axes)
One atom of each set of equivalent atoms:
K 0.0000 0.5000 0.0000 x9
Fe 0.0000 0.0000 0.5000 x3
Rh 0.0000 0.5000 0.5000 x9
O 0.0000 0.0000 0.2229 x6
O 0.0009 0.5005 0.7769 x18

* total magnetic moment: 6.1 μB/f.u.
* uncorrected energy: -262.81 eV for the cell shown

K3Fe2RhO6: optimized geometry, GGA+U.

Cell: 5.4703 9.4681 6.2800 Å, 90.00 106.84 90.00°
Space group C2/m (No. 12)
One atom of each set of equivalent atoms:
K 0.0000 0.0000 0.0000 x2
K 0.0000 0.3361 0.0000 x4
Fe 0.0000 0.1669 0.5000 x4
Rh 0.0000 0.5000 0.5000 x2
O 0.2207 0.0000 0.6749 x4
O 0.2271 0.3313 0.6757 x8

* total magnetic moment: 9.9 μB/f.u.
* uncorrected energy: -135.09 eV for the cell shown

KFeRu2O8: optimized geometry, GGA+U.

Cell: 5.3822 5.3822 7.8474 Å, 90.00 90.00 120.00°
Space group P-3 (No. 147)
One atom of each set of equivalent atoms:
K 0.0000 0.0000 0.0000 x1
Fe 0.0000 0.0000 0.5000 x1
Ru 0.3333 0.6667 0.7275 x2
O 0.0528 0.3215 0.6549 x6
O 0.3333 0.6667 0.9506 x2

* total magnetic moment: 1.0 μB/f.u.
* uncorrected energy: -77.32 eV for the cell shown

KFeS2O: optimized geometry, GGA+U.

Cell: 5.7344 5.7344 6.0502 Å, 90.00 90.00 90.00°
Space group P4/mmm (No. 123)
One atom of each set of equivalent atoms:
K 0.0000 0.0000 0.0000 x1
Fe 0.0000 0.0000 0.5000 x1
S 0.0000 0.5000 0.0000 x2
O 0.5000 0.5000 0.5000 x1

* total magnetic moment: 5.0 μB/f.u.
* uncorrected energy: -10.01 eV for the cell shown

KFeS2O8: optimized geometry, GGA+U.

Cell: 8.8150 5.1295 8.1487 Å, 90.00 91.17 90.00°
Space group C2 (No. 5)
One atom of each set of equivalent atoms:
K 0.0000 0.0000 0.0000 x2
Fe 0.0000 0.0013 0.5000 x2
S 0.1826 0.5012 0.7078 x4
O 0.1213 0.7372 0.6239 x4
O 0.1219 0.2657 0.6228 x4
O 0.1470 0.5001 0.8815 x4
O 0.1476 0.0018 0.3095 x4

* total magnetic moment: 5.1 μB/f.u.
* uncorrected energy: -146.74 eV for the cell shown

K2FeSbO4: optimized geometry, GGA+U.

Cell: 8.0216 7.3685 5.8394 Å, 90.00 126.64 90.00°
Space group C2 (No. 5)
One atom of each set of equivalent atoms:
K 0.0000 0.0000 0.0000 x2
K 0.0000 0.2613 0.5000 x2
Fe 0.0000 0.4708 0.0000 x2
Sb 0.0000 0.7751 0.5000 x2
O 0.1135 0.5994 0.3609 x4
O 0.2087 0.3100 0.0676 x4

* total magnetic moment: 5.0 μB/f.u.
* uncorrected energy: -87.13 eV for the cell shown

KFeSbO2: optimized geometry, GGA+U.

Cell: 4.3342 4.3342 6.4612 Å, 90.00 90.00 90.00°
Space group P4/mmm (No. 123)
One atom of each set of equivalent atoms:
K 0.0000 0.0000 0.0000 x1
Fe 0.5000 0.5000 0.0000 x1
Sb 0.0000 0.0000 0.5000 x1
O 0.0000 0.5000 0.5000 x2

* total magnetic moment: 4.0 μB/f.u.
* uncorrected energy: -19.69 eV for the cell shown

K3Sc2FeO6: optimized geometry, GGA+U.

Cell: 5.5586 9.6285 6.4117 Å, 90.00 106.77 90.00°
Space group C2/m (No. 12)
One atom of each set of equivalent atoms:
K 0.0000 0.0000 0.0000 x2
K 0.0000 0.3344 0.0000 x4
Sc 0.0000 0.1668 0.5000 x4
Fe 0.0000 0.5000 0.5000 x2
O 0.2227 0.3363 0.6771 x8
O 0.2316 0.0000 0.6769 x4

* total magnetic moment: 5.0 μB/f.u.
* uncorrected energy: -158.22 eV for the cell shown

KSc2FeO4: optimized geometry, GGA+U.

Cell: 3.3053 11.0877 11.4989 Å, 90.00 90.00 90.00°
Space group Cmcm (No. 63)
One atom of each set of equivalent atoms:
K 0.0000 0.1029 0.2500 x4
Sc 0.0000 0.3654 0.0563 x8
Fe 0.0000 0.1712 0.7500 x4
O 0.0000 0.0000 0.0000 x4
O 0.0000 0.2524 0.5919 x8
O 0.0000 0.4289 0.2500 x4

* total magnetic moment: 3.0 μB/f.u.
* uncorrected energy: -231.20 eV for the cell shown

K3FeSe2O8: optimized geometry, GGA+U.

Cell: 5.8633 5.8633 7.5728 Å, 90.00 90.00 120.00°
Space group P-3m1 (No. 164)
One atom of each set of equivalent atoms:
K 0.0000 0.0000 0.0000 x1
K 0.3333 0.6667 0.6931 x2
Fe 0.0000 0.0000 0.5000 x1
Se 0.3333 0.6667 0.2593 x2
O 0.1644 0.3287 0.3345 x6
O 0.3333 0.6667 0.0373 x2

* total magnetic moment: 3.6 μB/f.u.
* uncorrected energy: -71.71 eV for the cell shown

K2FeSe2O6: optimized geometry, GGA+U.

Cell: 9.0430 5.9082 7.0955 Å, 90.00 111.36 90.00°
Space group C2/m (No. 12)
One atom of each set of equivalent atoms:
K 0.1988 0.0000 0.1402 x4
Fe 0.0000 0.0000 0.5000 x2
Se 0.0933 0.5000 0.2490 x4
O 0.0215 0.2665 0.7398 x8
O 0.2428 0.0000 0.5334 x4

* total magnetic moment: 4.0 μB/f.u.
* uncorrected energy: -116.47 eV for the cell shown

KFeSe2O8: optimized geometry, GGA+U.

Cell: 5.0582 5.0582 25.4817 Å, 90.00 90.00 120.00°
Space group R-3 (No. 148, hexagonal axes)
One atom of each set of equivalent atoms:
K 0.0000 0.0000 0.0000 x3
Fe 0.0000 0.0000 0.5000 x3
Se 0.0000 0.0000 0.2354 x6
O 0.0000 0.0000 0.3000 x6
O 0.0037 0.3672 0.8808 x18

* total magnetic moment: 4.9 μB/f.u.
* uncorrected energy: -197.48 eV for the cell shown

Which of these has the lowest uncorrected energy? K3FeRh3O8

uncorrected energy of number 12 (KFeSe2O8)? -197.48 eV for the cell shown

What did the eighth record say?
K3Sc2FeO6: optimized geometry, GGA+U.

Cell: 5.5586 9.6285 6.4117 Å, 90.00 106.77 90.00°
Space group C2/m (No. 12)
One atom of each set of equivalent atoms:
K 0.0000 0.0000 0.0000 x2
K 0.0000 0.3344 0.0000 x4
Sc 0.0000 0.1668 0.5000 x4
Fe 0.0000 0.5000 0.5000 x2
O 0.2227 0.3363 0.6771 x8
O 0.2316 0.0000 0.6769 x4

* total magnetic moment: 5.0 μB/f.u.
* uncorrected energy: -158.22 eV for the cell shown

What is the formula in the sixth record? K2FeSbO4